# TmPaGe2O8 (PBE, relaxed)
data_TmPaGe2O8
_cell_length_a 7.0321
_cell_length_b 7.0321
_cell_length_c 6.4539
_cell_angle_alpha 90.00
_cell_angle_beta 90.00
_cell_angle_gamma 90.00
_symmetry_space_group_name_H-M 'I -4 m 2'
_symmetry_Int_Tables_number 119
_symmetry_space_group_name_Hall 'I -4 -2'
loop_
_atom_site_label
_atom_site_fract_x
_atom_site_fract_y
_atom_site_fract_z
_atom_site_occupancy
Tm1 0.0000 0.0000 0.0000 1
Pa1 0.0000 0.5000 0.7500 1
Ge1 0.0000 0.0000 0.5000 1
Ge2 0.0000 0.5000 0.2500 1
O1 0.0000 0.1871 0.6831 1
O2 0.0000 0.3165 0.0620 1
# - formation energy from raw total energies (eV per atom) = -2.681
# - DOS at the Fermi energy (states/eV/cell) = 0.00
# - final energy (eV/atom) = -7.92

# CsCeCu2S4 (PBE, relaxed)
data_CsCeCu2S4
_cell_length_a 6.5529
_cell_length_b 8.3557
_cell_length_c 9.0108
_cell_angle_alpha 90.00
_cell_angle_beta 90.00
_cell_angle_gamma 90.00
_symmetry_space_group_name_H-M 'I 2 2 2'
_symmetry_Int_Tables_number 23
loop_
_symmetry_equiv_pos_as_xyz
'x,y,z'
'-x,-y,z'
'x,-y,-z'
'-x,y,-z'
'x+1/2,y+1/2,z+1/2'
'-x+1/2,-y+1/2,z+1/2'
'x+1/2,-y+1/2,-z+1/2'
'-x+1/2,y+1/2,-z+1/2'
loop_
_atom_site_label
_atom_site_fract_x
_atom_site_fract_y
_atom_site_fract_z
_atom_site_occupancy
Cs1 0.0000 0.0000 0.0000 1
Ce1 0.0000 0.0000 0.5000 1
Cu1 0.0000 0.5000 0.1354 1
S1 0.2474 0.3346 0.8340 1
# - formation energy from raw total energies (eV per atom) = -0.782
# - DOS at the Fermi energy (states/eV/cell) = 19.16
# - final energy (eV/atom) = -4.72

# Mg2ZnW (PBE, relaxed)
data_Mg2ZnW
_cell_length_a 3.0111
_cell_length_b 4.7313
_cell_length_c 4.7521
_cell_angle_alpha 90.00
_cell_angle_beta 90.00
_cell_angle_gamma 90.00
_symmetry_space_group_name_H-M 'P m m m'
_symmetry_Int_Tables_number 47
loop_
_symmetry_equiv_pos_as_xyz
'x,y,z'
'-x,-y,-z'
'-x,-y,z'
'x,y,-z'
'x,-y,-z'
'-x,y,z'
'-x,y,-z'
'x,-y,z'
loop_
_atom_site_label
_atom_site_fract_x
_atom_site_fract_y
_atom_site_fract_z
_atom_site_occupancy
Mg1 0.0000 0.0000 0.0000 1
Mg2 0.5000 0.0000 0.5000 1
Zn1 0.0000 0.5000 0.5000 1
W1 0.5000 0.5000 0.0000 1
# - energy relative to the elements (meV per atom) = 407
# - DOS at the Fermi energy (states/eV/cell) = 1.46
# - final energy (eV/atom) = -3.95

# Rb2AgBr3 (PBE, relaxed)
data_Rb2AgBr3
_cell_length_a 13.7125
_cell_length_b 8.4980
_cell_length_c 8.7805
_cell_angle_alpha 90.00
_cell_angle_beta 110.79
_cell_angle_gamma 90.00
_symmetry_space_group_name_H-M 'C 1 2/c 1'
_symmetry_Int_Tables_number 15
loop_
_symmetry_equiv_pos_as_xyz
'x,y,z'
'-x,-y,-z'
'-x,y,-z+1/2'
'x,-y,z+1/2'
'x+1/2,y+1/2,z'
'-x+1/2,-y+1/2,-z'
'-x+1/2,y+1/2,-z+1/2'
'x+1/2,-y+1/2,z+1/2'
loop_
_atom_site_label
_atom_site_fract_x
_atom_site_fract_y
_atom_site_fract_z
_atom_site_occupancy
Rb1 0.1575 0.1787 0.1633 1
Ag1 0.0000 0.4110 0.7500 1
Br1 0.0000 0.0957 0.7500 1
Br2 0.1649 0.4624 0.4653 1
# - formation energy from raw total energies (eV per atom) = -1.268
# - DOS at the Fermi energy (states/eV/cell) = 0.00
# - final energy (eV/atom) = -2.90
# - energy above the most stable polymorph in this dataset (meV per atom) = 26

# LiErGe2 (PBE, relaxed)
data_LiErGe2
_cell_length_a 4.2053
_cell_length_b 4.2053
_cell_length_c 14.8321
_cell_angle_alpha 90.00
_cell_angle_beta 90.00
_cell_angle_gamma 120.00
_symmetry_space_group_name_H-M 'R -3 m'
_symmetry_Int_Tables_number 166
_symmetry_space_group_name_Hall '-R 3 2"'
loop_
_atom_site_label
_atom_site_fract_x
_atom_site_fract_y
_atom_site_fract_z
_atom_site_occupancy
Li1 0.0000 0.0000 0.0000 1
Er1 0.0000 0.0000 0.5000 1
Ge1 0.0000 0.0000 0.2799 1
# - energy relative to the elements (meV per atom) = -459
# - DOS at the Fermi energy (states/eV/cell) = 5.55
# - final energy (eV/atom) = -4.39
# - energy above the most stable polymorph in this dataset (meV per atom) = 135

# Pa2AlGe (PBE, relaxed)
data_Pa2AlGe
_cell_length_a 4.7615
_cell_length_b 4.7615
_cell_length_c 14.0203
_cell_angle_alpha 90.00
_cell_angle_beta 90.00
_cell_angle_gamma 120.00
_symmetry_space_group_name_H-M 'R -3 m'
_symmetry_Int_Tables_number 166
_symmetry_space_group_name_Hall '-R 3 2"'
loop_
_atom_site_label
_atom_site_fract_x
_atom_site_fract_y
_atom_site_fract_z
_atom_site_occupancy
Pa1 0.0000 0.0000 0.2469 1
Al1 0.0000 0.0000 0.0000 1
Ge1 0.0000 0.0000 0.5000 1
# - energy relative to the elements (meV per atom) = -101
# - DOS at the Fermi energy (states/eV/cell) = 18.41
# - final energy (eV/atom) = -6.94
# - energy above the most stable polymorph in this dataset (meV per atom) = 156

# KMnCuAs2 (PBE, relaxed)
data_KMnCuAs2
_cell_length_a 4.8861
_cell_length_b 4.8861
_cell_length_c 4.8446
_cell_angle_alpha 90.00
_cell_angle_beta 90.00
_cell_angle_gamma 90.00
_symmetry_space_group_name_H-M 'P 4/m m m'
_symmetry_Int_Tables_number 123
_symmetry_space_group_name_Hall '-P 4 2'
loop_
_atom_site_label
_atom_site_fract_x
_atom_site_fract_y
_atom_site_fract_z
_atom_site_occupancy
K1 0.0000 0.0000 0.0000 1
Mn1 0.5000 0.5000 0.0000 1
Cu1 0.5000 0.5000 0.5000 1
As1 0.0000 0.5000 0.5000 1
# - energy relative to the elements (meV per atom) = 370
# - DOS at the Fermi energy (states/eV/cell) = 2.60
# - final energy (eV/atom) = -4.36
# - energy above the most stable polymorph in this dataset (meV per atom) = 676

# GeSb2Pb2 (PBE, relaxed)
data_GeSb2Pb2
_cell_length_a 7.6181
_cell_length_b 7.6181
_cell_length_c 5.1710
_cell_angle_alpha 90.00
_cell_angle_beta 90.00
_cell_angle_gamma 90.00
_symmetry_space_group_name_H-M 'P 4/m b m'
_symmetry_Int_Tables_number 127
_symmetry_space_group_name_Hall '-P 4 2ab'
loop_
_atom_site_label
_atom_site_fract_x
_atom_site_fract_y
_atom_site_fract_z
_atom_site_occupancy
Ge1 0.0000 0.0000 0.0000 1
Sb1 0.1366 0.3634 0.0000 1
Pb1 0.1827 0.6827 0.5000 1
# - formation energy from raw total energies (eV per atom) = 0.205
# - DOS at the Fermi energy (states/eV/cell) = 6.03
# - final energy (eV/atom) = -3.85
# - energy above the most stable polymorph in this dataset (meV per atom) = 0

# CuSb2WI (PBE, relaxed)
data_CuSb2WI
_cell_length_a 4.9672
_cell_length_b 4.9672
_cell_length_c 5.3251
_cell_angle_alpha 90.00
_cell_angle_beta 90.00
_cell_angle_gamma 90.00
_symmetry_space_group_name_H-M 'P 4/m m m'
_symmetry_Int_Tables_number 123
_symmetry_space_group_name_Hall '-P 4 2'
loop_
_atom_site_label
_atom_site_fract_x
_atom_site_fract_y
_atom_site_fract_z
_atom_site_occupancy
Cu1 0.0000 0.0000 0.0000 1
Sb1 0.0000 0.5000 0.0000 1
W1 0.5000 0.5000 0.5000 1
I1 0.0000 0.0000 0.5000 1
# - formation energy from raw total energies (eV per atom) = 1.407
# - DOS at the Fermi energy (states/eV/cell) = 3.91
# - final energy (eV/atom) = -3.96
# - energy above the most stable polymorph in this dataset (meV per atom) = 404

# Pr2AuCl (PBE, relaxed)
data_Pr2AuCl
_cell_length_a 3.5361
_cell_length_b 3.5361
_cell_length_c 8.2606
_cell_angle_alpha 90.00
_cell_angle_beta 90.00
_cell_angle_gamma 90.00
_symmetry_space_group_name_H-M 'P 4/m m m'
_symmetry_Int_Tables_number 123
_symmetry_space_group_name_Hall '-P 4 2'
loop_
_atom_site_label
_atom_site_fract_x
_atom_site_fract_y
_atom_site_fract_z
_atom_site_occupancy
Pr1 0.0000 0.0000 0.2346 1
Au1 0.5000 0.5000 0.0000 1
Cl1 0.5000 0.5000 0.5000 1
# - formation energy from raw total energies (eV per atom) = -0.977
# - DOS at the Fermi energy (states/eV/cell) = 3.86
# - final energy (eV/atom) = -4.65
# - energy above the most stable polymorph in this dataset (meV per atom) = 125

# CaAc2Dy (PBE, relaxed)
data_CaAc2Dy
_cell_length_a 5.6533
_cell_length_b 5.6533
_cell_length_c 5.0156
_cell_angle_alpha 90.00
_cell_angle_beta 90.00
_cell_angle_gamma 90.00
_symmetry_space_group_name_H-M 'P 4/m m m'
_symmetry_Int_Tables_number 123
_symmetry_space_group_name_Hall '-P 4 2'
loop_
_atom_site_label
_atom_site_fract_x
_atom_site_fract_y
_atom_site_fract_z
_atom_site_occupancy
Ca1 0.0000 0.0000 0.0000 1
Ac1 0.0000 0.5000 0.5000 1
Dy1 0.5000 0.5000 0.0000 1
# - energy relative to the elements (meV per atom) = 81
# - DOS at the Fermi energy (states/eV/cell) = 5.59
# - final energy (eV/atom) = -3.62
# - energy above the most stable polymorph in this dataset (meV per atom) = 35

# MnCu14Si (PBE, relaxed)
data_MnCu14Si
_cell_length_a 8.3691
_cell_length_b 5.1057
_cell_length_c 9.0191
_cell_angle_alpha 90.00
_cell_angle_beta 90.00
_cell_angle_gamma 90.00
_symmetry_space_group_name_H-M 'A m m 2'
_symmetry_Int_Tables_number 38
loop_
_symmetry_equiv_pos_as_xyz
'x,y,z'
'-x,-y,z'
'-x,y,z'
'x,-y,z'
'x,y+1/2,z+1/2'
'-x,-y+1/2,z+1/2'
'-x,y+1/2,z+1/2'
'x,-y+1/2,z+1/2'
loop_
_atom_site_label
_atom_site_fract_x
_atom_site_fract_y
_atom_site_fract_z
_atom_site_occupancy
Mn1 0.0000 0.0000 0.0000 1
Cu1 0.0000 0.2481 0.2482 1
Cu2 0.2454 0.0000 0.6577 1
Cu3 0.2513 0.2494 0.9093 1
Cu4 0.2550 0.0000 0.1602 1
Cu5 0.5000 0.0000 0.3247 1
Cu6 0.5000 0.0000 0.8217 1
Cu7 0.5000 0.2479 0.5734 1
Si1 0.0000 0.0000 0.4939 1
# - formation energy from raw total energies (eV per atom) = 0.003
# - DOS at the Fermi energy (states/eV/cell) = 11.31
# - final energy (eV/atom) = -4.49

# PmGdErGa (PBE, relaxed)
data_PmGdErGa
_cell_length_a 7.5706
_cell_length_b 7.5706
_cell_length_c 7.5706
_cell_angle_alpha 90.00
_cell_angle_beta 90.00
_cell_angle_gamma 90.00
_symmetry_space_group_name_H-M 'F -4 3 m'
_symmetry_Int_Tables_number 216
_symmetry_space_group_name_Hall 'F -4 2 3'
loop_
_atom_site_label
_atom_site_fract_x
_atom_site_fract_y
_atom_site_fract_z
_atom_site_occupancy
Pm1 0.0000 0.0000 0.0000 1
Gd1 0.2500 0.2500 0.7500 1
Er1 0.2500 0.2500 0.2500 1
Ga1 0.0000 0.0000 0.5000 1
# - energy relative to the elements (meV per atom) = -58
# - DOS at the Fermi energy (states/eV/cell) = 22.96
# - final energy (eV/atom) = -6.66

# SrIn2Te3 (PBE, relaxed)
data_SrIn2Te3
_cell_length_a 23.8913
_cell_length_b 4.6211
_cell_length_c 10.3679
_cell_angle_alpha 90.00
_cell_angle_beta 111.05
_cell_angle_gamma 90.00
_symmetry_space_group_name_H-M 'C 1 2/m 1'
_symmetry_Int_Tables_number 12
loop_
_symmetry_equiv_pos_as_xyz
'x,y,z'
'-x,-y,-z'
'-x,y,-z'
'x,-y,z'
'x+1/2,y+1/2,z'
'-x+1/2,-y+1/2,-z'
'-x+1/2,y+1/2,-z'
'x+1/2,-y+1/2,z'
loop_
_atom_site_label
_atom_site_fract_x
_atom_site_fract_y
_atom_site_fract_z
_atom_site_occupancy
Sr1 0.1668 0.0000 0.0214 1
In1 0.0643 0.5000 0.1659 1
In2 0.2249 0.5000 0.5865 1
Te1 0.0616 0.5000 0.8859 1
Te2 0.1234 0.0000 0.3170 1
Te3 0.2372 0.0000 0.8008 1
# - formation energy from raw total energies (eV per atom) = -0.705
# - DOS at the Fermi energy (states/eV/cell) = 0.01
# - final energy (eV/atom) = -3.47

# LaAs2Se (PBE, relaxed)
data_LaAs2Se
_cell_length_a 4.3527
_cell_length_b 4.1786
_cell_length_c 10.9408
_cell_angle_alpha 90.00
_cell_angle_beta 90.00
_cell_angle_gamma 90.00
_symmetry_space_group_name_H-M 'A m m 2'
_symmetry_Int_Tables_number 38
loop_
_symmetry_equiv_pos_as_xyz
'x,y,z'
'-x,-y,z'
'-x,y,z'
'x,-y,z'
'x,y+1/2,z+1/2'
'-x,-y+1/2,z+1/2'
'-x,y+1/2,z+1/2'
'x,-y+1/2,z+1/2'
loop_
_atom_site_label
_atom_site_fract_x
_atom_site_fract_y
_atom_site_fract_z
_atom_site_occupancy
La1 0.0000 0.0000 0.0000 1
As1 0.5000 0.0000 0.5637 1
As2 0.5000 0.0000 0.7831 1
Se1 0.0000 0.0000 0.2918 1
# - formation energy from raw total energies (eV per atom) = -0.893
# - DOS at the Fermi energy (states/eV/cell) = 3.06
# - final energy (eV/atom) = -5.32
# - energy above the most stable polymorph in this dataset (meV per atom) = 91

# PaTl2BiSe4 (PBE, relaxed)
data_PaTl2BiSe4
_cell_length_a 7.3909
_cell_length_b 4.1889
_cell_length_c 8.2903
_cell_angle_alpha 90.00
_cell_angle_beta 106.44
_cell_angle_gamma 90.00
_symmetry_space_group_name_H-M 'P 1 2/m 1'
_symmetry_Int_Tables_number 10
loop_
_symmetry_equiv_pos_as_xyz
'x,y,z'
'-x,-y,-z'
'-x,y,-z'
'x,-y,z'
loop_
_atom_site_label
_atom_site_fract_x
_atom_site_fract_y
_atom_site_fract_z
_atom_site_occupancy
Pa1 0.0000 0.0000 0.0000 1
Tl1 0.0000 0.5000 0.5000 1
Tl2 0.5000 0.0000 0.5000 1
Bi1 0.5000 0.5000 0.0000 1
Se1 0.2234 0.5000 0.2066 1
Se2 0.2517 0.0000 0.7893 1
# - formation energy from raw total energies (eV per atom) = -0.694
# - DOS at the Fermi energy (states/eV/cell) = 7.43
# - final energy (eV/atom) = -4.70

# CaSm2Au4 (PBE, relaxed)
data_CaSm2Au4
_cell_length_a 5.0340
_cell_length_b 5.0340
_cell_length_c 24.8598
_cell_angle_alpha 90.00
_cell_angle_beta 90.00
_cell_angle_gamma 120.00
_symmetry_space_group_name_H-M 'R -3 m'
_symmetry_Int_Tables_number 166
_symmetry_space_group_name_Hall '-R 3 2"'
loop_
_atom_site_label
_atom_site_fract_x
_atom_site_fract_y
_atom_site_fract_z
_atom_site_occupancy
Ca1 0.0000 0.0000 0.0000 1
Sm1 0.0000 0.0000 0.2423 1
Au1 0.0000 0.0000 0.1214 1
Au2 0.0000 0.0000 0.3709 1
# - energy relative to the elements (meV per atom) = -657
# - DOS at the Fermi energy (states/eV/cell) = 15.61
# - final energy (eV/atom) = -4.16

# ZrZnGaPt (PBE, relaxed)
data_ZrZnGaPt
_cell_length_a 6.4748
_cell_length_b 6.4748
_cell_length_c 6.4748
_cell_angle_alpha 90.00
_cell_angle_beta 90.00
_cell_angle_gamma 90.00
_symmetry_space_group_name_H-M 'F -4 3 m'
_symmetry_Int_Tables_number 216
_symmetry_space_group_name_Hall 'F -4 2 3'
loop_
_atom_site_label
_atom_site_fract_x
_atom_site_fract_y
_atom_site_fract_z
_atom_site_occupancy
Zr1 0.0000 0.0000 0.0000 1
Zn1 0.2500 0.2500 0.7500 1
Ga1 0.0000 0.0000 0.5000 1
Pt1 0.2500 0.2500 0.2500 1
# - energy relative to the elements (meV per atom) = -583
# - DOS at the Fermi energy (states/eV/cell) = 11.07
# - final energy (eV/atom) = -5.31

# Tb6Pm2Pr3Nd (PBE, relaxed)
data_Tb6Pm2Pr3Nd
_cell_length_a 6.2937
_cell_length_b 10.9016
_cell_length_c 11.9256
_cell_angle_alpha 90.00
_cell_angle_beta 100.11
_cell_angle_gamma 90.00
_symmetry_space_group_name_H-M 'C 1 2/m 1'
_symmetry_Int_Tables_number 12
loop_
_symmetry_equiv_pos_as_xyz
'x,y,z'
'-x,-y,-z'
'-x,y,-z'
'x,-y,z'
'x+1/2,y+1/2,z'
'-x+1/2,-y+1/2,-z'
'-x+1/2,y+1/2,-z'
'x+1/2,-y+1/2,z'
loop_
_atom_site_label
_atom_site_fract_x
_atom_site_fract_y
_atom_site_fract_z
_atom_site_occupancy
Tb1 0.2496 0.0000 0.2488 1
Tb2 0.2502 0.1667 0.7513 1
Pm1 0.0000 0.1666 0.0000 1
Pr1 0.0000 0.0000 0.5000 1
Pr2 0.0000 0.3332 0.5000 1
Nd1 0.0000 0.5000 0.0000 1
# - energy relative to the elements (meV per atom) = 11
# - DOS at the Fermi energy (states/eV/cell) = 28.59
# - final energy (eV/atom) = -4.69

# NpNbW (PBE, relaxed)
data_NpNbW
_cell_length_a 3.2201
_cell_length_b 3.2201
_cell_length_c 21.8375
_cell_angle_alpha 90.00
_cell_angle_beta 90.00
_cell_angle_gamma 90.00
_symmetry_space_group_name_H-M 'I 4/m m m'
_symmetry_Int_Tables_number 139
_symmetry_space_group_name_Hall '-I 4 2'
loop_
_atom_site_label
_atom_site_fract_x
_atom_site_fract_y
_atom_site_fract_z
_atom_site_occupancy
Np1 0.0000 0.0000 0.2209 1
Nb1 0.0000 0.0000 0.0634 1
W1 0.0000 0.0000 0.3660 1
# - energy relative to the elements (meV per atom) = 492
# - DOS at the Fermi energy (states/eV/cell) = 18.62
# - final energy (eV/atom) = -11.50